Record 1
## La4SnSb2 (PBEsol)

Data for an optimized crystal structure of La4SnSb2.

extended XYZ file:
```
14
Lattice="-4.7912 4.7912 4.8062 4.7912 -4.7912 4.8062 4.7912 4.7912 -4.8062" Properties=species:S:1:pos:R:3 pbc="T T T"
La 5.4693 1.7026 -0.5147
La 3.0886 4.1131 -2.9178
La 1.7026 0.6781 1.8884
La 1.7026 4.1131 0.5147
La 3.0886 0.6781 5.3209
La 5.4693 3.0886 2.9178
La -0.6781 3.0886 4.2915
La -0.6781 1.7026 7.7240
Sn 4.7912 0.0000 2.4031
Sn 0.0000 0.0000 4.8062
Sb -2.3956 5.9880 3.6047
Sb -1.1968 2.3956 1.2016
Sb 2.3956 3.5943 3.6047
Sb 1.1968 7.1868 1.2016
```

Computed properties:
Its density of states at the Fermi level is 15.18 states/eV/cell. The uncorrected formation energy comes out at -1.026 eV per atom.


Record 2
## MnCo (PBEsol)

Data for an optimized crystal structure of MnCo.

extended XYZ file:
```
4
Lattice="0.0000 2.7787 2.7787 2.7787 0.0000 2.7787 2.7787 2.7787 0.0000" Properties=species:S:1:pos:R:3 pbc="T T T"
Mn 0.6947 0.6947 0.6947
Mn 4.8627 4.8627 4.8627
Co 2.0840 2.0840 2.0840
Co 3.4734 3.4734 3.4734
```

Computed properties:
As for the formation energy: 202 meV per atom. Its density of states at the Fermi level is 6.37 states/eV/cell.


Record 3
## HgIr3 (PBEsol)

Data for an optimized crystal structure of HgIr3.

extended XYZ file:
```
4
Lattice="0.0000 3.1454 3.1454 3.1454 0.0000 3.1454 3.1454 3.1454 0.0000" Properties=species:S:1:pos:R:3 pbc="T T T"
Hg 0.0000 0.0000 0.0000
Ir 1.5727 1.5727 1.5727
Ir 3.1454 3.1454 3.1454
Ir 4.7180 4.7180 4.7180
```

Computed properties:
As for the formation energy: 726 meV per atom. Its density of states at the Fermi level is 6.78 states/eV/cell.


Repeat the third record exactly.
## HgIr3 (PBEsol)

Data for an optimized crystal structure of HgIr3.

extended XYZ file:
```
4
Lattice="0.0000 3.1454 3.1454 3.1454 0.0000 3.1454 3.1454 3.1454 0.0000" Properties=species:S:1:pos:R:3 pbc="T T T"
Hg 0.0000 0.0000 0.0000
Ir 1.5727 1.5727 1.5727
Ir 3.1454 3.1454 3.1454
Ir 4.7180 4.7180 4.7180
```

Computed properties:
As for the formation energy: 726 meV per atom. Its density of states at the Fermi level is 6.78 states/eV/cell.